No. 1
AcErLuCd after structural relaxation. Source: Alexandria, functional PBE-GGA.

Lattice parameters (Å, degrees): 5.6103 5.6103 5.6103 60.00 60.00 60.00
Sites, in units of the cell vectors:
Cd 0.5000 0.5000 0.5000
Ac 0.2500 0.2500 0.2500
Er 0.7500 0.7500 0.7500
Lu 0.0000 0.0000 0.0000

Energy relative to the elements = 0.00 eV per atom

No. 2
PuHfC2 after structural relaxation. Source: Alexandria, functional PBE-GGA.

Lattice parameters (Å, degrees): 3.3819 3.3819 5.9665 73.54 73.54 60.00
Sites, in units of the cell vectors:
C 0.7463 0.7463 0.7611
C 0.2537 0.2537 0.2389
Hf 0.0000 0.0000 0.0000
Pu 0.5000 0.5000 0.5000

Energy relative to the elements = -0.38 eV per atom

No. 3
PrSiHIr2 after structural relaxation. Source: Alexandria, functional PBE-GGA.

Lattice parameters (Å, degrees): 3.9269 5.8068 7.1446 90.00 90.00 109.76
Sites, in units of the cell vectors:
Si 0.2788 0.5575 0.2500
Si 0.7212 0.4425 0.7500
Ir 0.8368 0.6736 0.4446
Ir 0.8368 0.6736 0.0554
Ir 0.1632 0.3264 0.5554
Ir 0.1632 0.3264 0.9446
H 0.0000 0.0000 0.5000
H 0.0000 0.0000 0.0000
Pr 0.4422 0.8845 0.7500
Pr 0.5578 0.1155 0.2500

E = -6.95 eV/atom

No. 4
Ho3Tm8 after structural relaxation. Source: Alexandria, functional PBE-GGA.

Lattice parameters (Å, degrees): 3.4939 3.4939 31.3352 86.80 86.80 60.00
Sites, in units of the cell vectors:
Ho 0.0000 0.0000 0.0000
Ho 0.2726 0.2726 0.1823
Ho 0.7274 0.7274 0.8177
Tm 0.8182 0.8182 0.5453
Tm 0.0912 0.0912 0.7264
Tm 0.6363 0.6363 0.0911
Tm 0.9088 0.9088 0.2736
Tm 0.5453 0.5453 0.3641
Tm 0.4547 0.4547 0.6359
Tm 0.1818 0.1818 0.4547
Tm 0.3637 0.3637 0.9089

Energy relative to the elements = 0.03 eV per atom
Distance to the lowest polymorph of the same formula = 0 meV/atom

No. 5
Pm2Sm3ThAs6 after structural relaxation. Source: Alexandria, functional PBE-GGA.

Lattice parameters (Å, degrees): 4.2332 8.4597 9.4492 102.86 102.94 90.00
Sites, in units of the cell vectors:
Th 0.5000 0.0000 0.0000
As 0.3339 0.4157 0.6678
As 0.9997 0.2495 0.9994
As 0.0003 0.7505 0.0006
As 0.6661 0.0819 0.3323
As 0.6661 0.5843 0.3322
As 0.3339 0.9181 0.6677
Pm 0.8323 0.6641 0.6645
Pm 0.1677 0.3359 0.3355
Sm 0.8323 0.1681 0.6646
Sm 0.5000 0.5000 0.0000
Sm 0.1677 0.8319 0.3354

Energy relative to the elements = -1.53 eV per atom

No. 6
Rb2TiPtS4 after structural relaxation. Source: Alexandria, functional PBE-GGA.

Lattice parameters (Å, degrees): 5.8498 7.0823 12.8767 84.62 76.87 65.61
Sites, in units of the cell vectors:
Ti 0.7500 0.5000 0.5000
Ti 0.0000 0.0000 0.0000
S 0.9065 0.8230 0.8881
S 0.2705 0.8230 0.1119
S 0.4795 0.6770 0.3881
S 0.1324 0.3230 0.3881
S 0.8435 0.6770 0.6119
S 0.2054 0.1770 0.8881
S 0.6176 0.1770 0.1119
S 0.5446 0.3230 0.6119
Rb 0.8221 0.0000 0.3559
Rb 0.5721 0.5000 0.8559
Rb 0.9279 0.5000 0.1441
Rb 0.1779 0.0000 0.6441
Pt 0.5000 0.0000 0.0000
Pt 0.2500 0.5000 0.5000

Formation energy without anion corrections = -0.99 eV/atom

No. 7
PuNbPt after structural relaxation. Source: Alexandria, functional PBE-GGA.

Lattice parameters (Å, degrees): 3.1538 3.1538 6.4873 104.07 104.07 90.00
Sites, in units of the cell vectors:
Nb 0.6478 0.6478 0.2956
Pt 0.0199 0.0199 0.0398
Pu 0.3323 0.3323 0.6646

Energy relative to the elements = -0.25 eV per atom
Distance to the lowest polymorph of the same formula = 0 meV/atom